Cu3Au | PBE | optimized geometry

a b c (Å): 4.5732 4.5732 2.7502
angles (deg): 90.00 90.00 107.94
Closest atoms and distances in Å follow each position.
Positions (direct):
Cu  0.0000  0.0000  0.0000  10 Cu 2.67-2.75, 2 Au 2.69
Cu  0.0000  0.5000  0.5000  8 Cu 2.67-2.75, 4 Au 2.67
Cu  0.5000  0.0000  0.5000  8 Cu 2.67-2.75, 4 Au 2.67
Au  0.5000  0.5000  0.0000  10 Cu 2.67-2.69, 2 Au 2.75

Values from the calculation:
Magnetization ... 0.00 μB per formula unit
Calculated density ... 11.76 g/cm3
Fermi-level density of states ... 1.38 states/eV per cell
SG ... Cmmm
Energy of formation ... 0.007 eV per atom